# 1
ScNiRh PBE optimized geometry; V = 15.6 A^3/atom; uncorrected energy = -6.6176 eV/atom; energy relative to the elements = -0.130 eV per atom; space-group type = P3m1 (156)
1.0
-2.1006 -2.0300 0.5458
1.5638 1.1605 2.2447
-4.1467 4.4493 0.5887
Sc Ni Rh
1 1 1
direct
0.3333 0.6667 0.6676 Sc
0.0000 0.0000 0.9957 Ni
0.6667 0.3333 0.3366 Rh



# 2
Sc2NiRh PBE optimized geometry; V = 17.3 A^3/atom; uncorrected energy = -6.9420 eV/atom; energy relative to the elements = -0.493 eV per atom; space-group type = Pmm2 (25)
1.0
-2.9183 -0.3272 -1.0135
1.3480 0.0229 -3.8889
0.5490 -5.3885 0.1586
Sc Rh Ni
2 1 1
direct
0.5000 0.5000 0.3109 Sc
0.0000 0.0000 0.9389 Sc
0.5000 0.5000 0.7987 Rh
0.0000 0.0000 0.4516 Ni



# 3
Sc4NiRh PBE optimized geometry; V = 19.1 A^3/atom; uncorrected energy = -6.0041 eV/atom; energy relative to the elements = 0.406 eV per atom; space-group type = F-43m (216)
1.0
0.0000 3.8557 3.8557
3.8557 0.0000 3.8557
3.8557 3.8557 0.0000
Sc Rh Ni
4 1 1
direct
0.8767 0.3744 0.3744 Sc
0.3744 0.3744 0.3744 Sc
0.3744 0.8767 0.3744 Sc
0.3744 0.3744 0.8767 Sc
0.0000 0.0000 0.0000 Rh
0.7500 0.7500 0.7500 Ni



# 4
Sc2NiRh PBE optimized geometry; V = 17.2 A^3/atom; uncorrected energy = -7.1095 eV/atom; energy relative to the elements = -0.661 eV per atom; space-group type = Amm2 (38)
1.0
-2.1327 0.9972 -4.5587
0.6314 -0.6245 -5.0533
-2.1779 -3.7718 0.1960
Sc Rh Ni
2 1 1
direct
0.2644 0.2644 0.3753 Sc
0.9845 0.9845 0.8750 Sc
0.7114 0.7114 0.8751 Rh
0.5397 0.5397 0.3747 Ni



# 5
ScNiRh2 PBE optimized geometry; V = 14.6 A^3/atom; uncorrected energy = -7.1590 eV/atom; energy relative to the elements = -0.455 eV per atom; space-group type = I-4m2 (119)
1.0
4.7855 -0.0086 -0.0099
1.6814 4.4804 0.0099
-3.2282 -2.2435 2.7289
Ni Sc Rh
1 1 2
direct
0.2500 0.7500 0.5000 Ni
0.5000 0.5000 0.0000 Sc
0.7500 0.2500 0.5000 Rh
0.0000 0.0000 0.0000 Rh



# 6
ScNiRh PBE optimized geometry; V = 17.4 A^3/atom; uncorrected energy = -6.4938 eV/atom; energy relative to the elements = -0.006 eV per atom; space-group type = F-43m (216)
1.0
-1.2111 0.1778 -4.0099
-2.0614 -3.2244 -1.7122
-4.0669 0.3770 -0.9467
Ni Sc Rh
1 1 1
direct
0.0000 0.0000 0.0000 Ni
0.2500 0.2500 0.2500 Sc
0.5000 0.5000 0.5000 Rh



# 7
Sc2NiRh PBE optimized geometry; V = 18.2 A^3/atom; uncorrected energy = -6.4964 eV/atom; energy relative to the elements = -0.047 eV per atom; space-group type = R-3m (166)
1.0
-0.1381 -8.2986 3.2768
2.8160 -8.1378 2.3388
2.0087 -7.0256 5.1215
Sc Rh Ni
2 1 1
direct
0.9094 0.9094 0.9094 Sc
0.0906 0.0906 0.0906 Sc
0.5000 0.5000 0.5000 Rh
0.0000 0.0000 0.0000 Ni



# 8
Sc12Ni6Rh PBE optimized geometry; V = 18.8 A^3/atom; uncorrected energy = -6.6003 eV/atom; energy relative to the elements = -0.389 eV per atom; space-group type = Im-3 (204)
1.0
-3.1143 -4.2837 -5.6416
7.6957 -0.8013 -0.1019
-2.7478 -2.3521 6.8406
Sc Ni Rh
12 6 1
direct
0.1835 0.2927 0.4762 Sc
0.8907 0.1835 0.7073 Sc
0.1093 0.8165 0.2927 Sc
0.8165 0.7073 0.5238 Sc
0.5238 0.8165 0.7073 Sc
0.1835 0.7073 0.8907 Sc
0.4762 0.1835 0.2927 Sc
0.2927 0.1093 0.8165 Sc
0.8165 0.2927 0.1093 Sc
0.7073 0.5238 0.8165 Sc
0.2927 0.4762 0.1835 Sc
0.7073 0.8907 0.1835 Sc
0.6339 0.5000 0.1339 Ni
0.5000 0.1339 0.6339 Ni
0.1339 0.6339 0.5000 Ni
0.5000 0.8661 0.3661 Ni
0.3661 0.5000 0.8661 Ni
0.8661 0.3661 0.5000 Ni
0.0000 0.0000 0.0000 Rh